Density functional theory data (PBE-GGA) for a relaxed structure of CsTl3F4.

Cell: 4.087 11.575 8.191 Å, 90.00 90.00 90.00°
Space group Amm2 (No. 38)
Symmetry-distinct sites (fractional):
Cs (0.000, 0.000, 0.000) [2 per cell]
Tl (0.000, 0.000, 0.500) [2 per cell]
Tl (0.500, 0.250, 0.250) [4 per cell]
F (0.000, 0.245, 0.500) [4 per cell]
F (0.500, 0.000, 0.262) [2 per cell]
F (0.500, 0.000, 0.738) [2 per cell]

Output
Uncorrected formation energy   -1.94 eV/atom
Size of the total moment   0.00 μB per formula unit
Mass density   7.047 g/cm3